A relaxed NaNdInSn crystal. Source: Alexandria, functional PBE.

Properties
- ΔH_f (0 K): -0.420 eV per atom
- ρ: 6.2 g/cm³
- Energy above the lowest structure with this stoichiometry: 0.000 eV per atom
- Raw total energy: -14.5 eV per cell
- Density of states at the Fermi level: 1.758 states/eV/f.u.

Cell and atoms, written as CIF:
```
data_NaNdInSn
_cell_length_a 4.599
_cell_length_b 4.741
_cell_length_c 4.950
_cell_angle_alpha 90.00
_cell_angle_beta 90.00
_cell_angle_gamma 90.00
_symmetry_space_group_name_H-M 'P m m m'
_symmetry_Int_Tables_number 47
_symmetry_space_group_name_Hall '-P 2 2'
loop_
_atom_site_label
_atom_site_fract_x
_atom_site_fract_y
_atom_site_fract_z
_atom_site_occupancy
Na1 0.000 0.000 0.000 1
Nd1 0.000 0.500 0.500 1
In1 0.500 0.500 0.000 1
Sn1 0.500 0.000 0.500 1
```

A relaxed Tm3ThAs4 crystal. Source: Alexandria, functional PBE.

Properties
- ΔH_f (0 K): -1.483 eV per atom
- ρ: 8.8 g/cm³
- Raw total energy: -102.6 eV per cell
- Density of states at the Fermi level: 1.465 states/eV/f.u.

Cell and atoms, written as CIF:
```
data_Tm3ThAs4
_cell_length_a 8.221
_cell_length_b 11.629
_cell_length_c 4.123
_cell_angle_alpha 90.00
_cell_angle_beta 90.00
_cell_angle_gamma 90.00
_symmetry_space_group_name_H-M 'C m m m'
_symmetry_Int_Tables_number 65
_symmetry_space_group_name_Hall '-C 2 2'
loop_
_atom_site_label
_atom_site_fract_x
_atom_site_fract_y
_atom_site_fract_z
_atom_site_occupancy
Tm1 0.000 0.000 0.000 1
Tm2 0.250 0.250 0.500 1
Th1 0.000 0.500 0.000 1
As1 0.000 0.246 0.000 1
As2 0.242 0.000 0.500 1
```

A relaxed Li2TlIn2 crystal. Source: Alexandria, functional PBE.

Properties
- ΔH_f (0 K): -0.076 eV per atom
- ρ: 5.7 g/cm³
- Energy above the lowest structure with this stoichiometry: 0.101 eV per atom
- Raw total energy: -24.1 eV per cell
- Density of states at the Fermi level: 1.952 states/eV/f.u.

Cell and atoms, written as CIF:
```
data_Li2TlIn2
_cell_length_a 8.254
_cell_length_b 4.772
_cell_length_c 7.178
_cell_angle_alpha 90.00
_cell_angle_beta 112.47
_cell_angle_gamma 90.00
_symmetry_space_group_name_H-M 'C 1 2/m 1'
_symmetry_Int_Tables_number 12
_symmetry_space_group_name_Hall '-C 2y'
loop_
_atom_site_label
_atom_site_fract_x
_atom_site_fract_y
_atom_site_fract_z
_atom_site_occupancy
Li1 0.080 0.000 0.243 1
Tl1 0.000 0.500 0.500 1
In1 0.152 0.500 0.956 1
```

A relaxed TlOs2Br crystal. Source: Alexandria, functional PBE.

Properties
- ρ: 13.6 g/cm³
- Energy above the lowest structure with this stoichiometry: 0.530 eV per atom
- Raw total energy: -44.4 eV per cell
- Density of states at the Fermi level: 3.129 states/eV/f.u.

Cell and atoms, written as CIF:
```
data_TlOs2Br
_cell_length_a 10.664
_cell_length_b 2.980
_cell_length_c 5.994
_cell_angle_alpha 90.00
_cell_angle_beta 121.52
_cell_angle_gamma 90.00
_symmetry_space_group_name_H-M 'C 1 m 1'
_symmetry_Int_Tables_number 8
_symmetry_space_group_name_Hall 'C -2y'
loop_
_atom_site_label
_atom_site_fract_x
_atom_site_fract_y
_atom_site_fract_z
_atom_site_occupancy
Tl1 0.000 0.000 0.000 1
Os1 0.269 0.500 0.431 1
Os2 0.442 0.000 0.379 1
Br1 0.168 0.000 0.676 1
```

Question: density of states at the Fermi level of number 2 (Tm3ThAs4)?
Answer: 1.465 states/eV/f.u.

Question: What is the formula in the second record?
Answer: Tm3ThAs4